Material: Cs2LiHN
Method: DFT, PBE
State: optimized geometry

Lattice parameters (Å, degrees): 5.870 5.870 3.631 90.00 90.00 90.00
Space group P4/mmm (No. 123)
Unique sites:
Cs: 0.000 0.500 0.000
Li: 0.000 0.000 0.000
H: 0.000 0.000 0.500
N: 0.500 0.500 0.500

Its uncorrected energy is -0.1727 Ry per atom.

Material: CsLiH4N2
Method: DFT, PBE
State: optimized geometry

Lattice parameters (Å, degrees): 6.4507 6.4507 8.3901 90.00 90.00 120.00
Space group P6_222 (No. 180)
Unique sites:
Cs: 0.0000 0.5000 0.1667
Li: 0.0000 0.0000 0.0000
H: 0.0936 0.4000 0.5506
N: 0.1429 0.2857 0.5000

Its uncorrected energy is -0.3348 Ry per atom.

Material: CsLiH4S2N2O6
Method: DFT, PBE
State: optimized geometry

Lattice parameters (Å, degrees): 5.546 8.037 10.217 77.97 76.72 88.55
Space group P-1 (No. 2)
Unique sites:
Cs: 0.198 0.247 0.091
Li: 0.354 0.107 0.710
H: 0.027 0.457 0.645
H: 0.117 0.765 0.484
H: 0.180 0.960 0.509
H: 0.281 0.534 0.351
S: 0.194 0.742 0.187
S: 0.405 0.763 0.607
N: 0.133 0.612 0.342
N: 0.152 0.833 0.554
O: 0.021 0.147 0.812
O: 0.228 0.643 0.078
O: 0.360 0.581 0.662
O: 0.378 0.200 0.511
O: 0.420 0.861 0.712
O: 0.422 0.835 0.182

Its uncorrected energy is -0.4113 Ry per atom.